No. 1
# Tb2Ga4PtAu3 | Alexandria via LeMat-Bulk | GGA-PBE | relaxed
data_Tb2Ga4PtAu3
_symmetry_space_group_name_H-M 'P -4 m 2'
_symmetry_Int_Tables_number 115
_cell_length_a 4.3215
_cell_length_b 4.3215
_cell_length_c 10.6470
_cell_angle_alpha 90.00
_cell_angle_beta 90.00
_cell_angle_gamma 90.00
loop_
_symmetry_equiv_pos_as_xyz
'x,y,z'
'y,-x,-z'
'-x,-y,z'
'-y,x,-z'
'-x,y,z'
'-y,-x,-z'
'x,-y,z'
'y,x,-z'
loop_
_atom_site_label
_atom_site_type_symbol
_atom_site_fract_x
_atom_site_fract_y
_atom_site_fract_z
Tb1 Tb 0.0000 0.5000 0.2436
Ga1 Ga 0.0000 0.0000 0.5000
Ga2 Ga 0.0000 0.5000 0.8718
Ga3 Ga 0.5000 0.5000 0.5000
Pt1 Pt 0.5000 0.5000 0.0000
Au1 Au 0.0000 0.0000 0.0000
Au2 Au 0.0000 0.5000 0.6389
# Magnetic moment = 0.00 μB/f.u.
# ΔE_f = -668 meV/atom
# ρ = 11.55 g/cm3



No. 2
# LiIrCl2 | Alexandria via LeMat-Bulk | GGA-PBE | relaxed
data_LiIrCl2
_symmetry_space_group_name_H-M 'P m m m'
_symmetry_Int_Tables_number 47
_cell_length_a 3.0582
_cell_length_b 3.7669
_cell_length_c 7.5256
_cell_angle_alpha 90.00
_cell_angle_beta 90.00
_cell_angle_gamma 90.00
loop_
_symmetry_equiv_pos_as_xyz
'x,y,z'
'-x,-y,-z'
'-x,-y,z'
'x,y,-z'
'x,-y,-z'
'-x,y,z'
'-x,y,-z'
'x,-y,z'
loop_
_atom_site_label
_atom_site_type_symbol
_atom_site_fract_x
_atom_site_fract_y
_atom_site_fract_z
Li1 Li 0.0000 0.0000 0.0000
Ir1 Ir 0.5000 0.0000 0.5000
Cl1 Cl 0.0000 0.5000 0.5000
Cl2 Cl 0.5000 0.5000 0.0000
# Magnetic moment = 0.62 μB/f.u.
# Raw formation energy = -129 meV per atom
# Energy relative to the lowest polymorph listed for this composition = 351 meV/atom
# ρ = 5.17 g/cm3



No. 3
# KYIr2 | Alexandria via LeMat-Bulk | GGA-PBE | relaxed
data_KYIr2
_symmetry_space_group_name_H-M 'I m m 2'
_symmetry_Int_Tables_number 44
_cell_length_a 3.0011
_cell_length_b 5.2491
_cell_length_c 11.2031
_cell_angle_alpha 90.00
_cell_angle_beta 90.00
_cell_angle_gamma 90.00
loop_
_symmetry_equiv_pos_as_xyz
'x,y,z'
'-x,-y,z'
'-x,y,z'
'x,-y,z'
'x+1/2,y+1/2,z+1/2'
'-x+1/2,-y+1/2,z+1/2'
'-x+1/2,y+1/2,z+1/2'
'x+1/2,-y+1/2,z+1/2'
loop_
_atom_site_label
_atom_site_type_symbol
_atom_site_fract_x
_atom_site_fract_y
_atom_site_fract_z
K1 K 0.0000 0.0000 0.0000
Y1 Y 0.0000 0.5000 0.8031
Ir1 Ir 0.0000 0.0000 0.5331
Ir2 Ir 0.0000 0.5000 0.2209
# Magnetic moment = 0.00 μB/f.u.
# ΔE_f = 284 meV/atom
# Energy relative to the lowest polymorph listed for this composition = 223 meV/atom
# ρ = 9.64 g/cm3



No. 4
# NaAcGdGa | Alexandria via LeMat-Bulk | GGA-PBE | relaxed
data_NaAcGdGa
_symmetry_space_group_name_H-M 'F -4 3 m'
_symmetry_Int_Tables_number 216
_symmetry_space_group_name_Hall 'F -4 2 3'
_cell_length_a 7.7996
_cell_length_b 7.7996
_cell_length_c 7.7996
_cell_angle_alpha 90.00
_cell_angle_beta 90.00
_cell_angle_gamma 90.00
loop_
_atom_site_label
_atom_site_type_symbol
_atom_site_fract_x
_atom_site_fract_y
_atom_site_fract_z
Na1 Na 0.0000 0.0000 0.0000
Ac1 Ac 0.2500 0.2500 0.7500
Gd1 Gd 0.2500 0.2500 0.2500
Ga1 Ga 0.0000 0.0000 0.5000
# Magnetic moment = 7.65 μB/f.u.
# ΔE_f = -104 meV/atom
# ρ = 6.68 g/cm3



No. 5
# Hg2TeRh | Alexandria via LeMat-Bulk | GGA-PBE | relaxed
data_Hg2TeRh
_symmetry_space_group_name_H-M 'I m m 2'
_symmetry_Int_Tables_number 44
_cell_length_a 3.1422
_cell_length_b 4.7098
_cell_length_c 12.8698
_cell_angle_alpha 90.00
_cell_angle_beta 90.00
_cell_angle_gamma 90.00
loop_
_symmetry_equiv_pos_as_xyz
'x,y,z'
'-x,-y,z'
'-x,y,z'
'x,-y,z'
'x+1/2,y+1/2,z+1/2'
'-x+1/2,-y+1/2,z+1/2'
'-x+1/2,y+1/2,z+1/2'
'x+1/2,-y+1/2,z+1/2'
loop_
_atom_site_label
_atom_site_type_symbol
_atom_site_fract_x
_atom_site_fract_y
_atom_site_fract_z
Hg1 Hg 0.0000 0.0000 0.0000
Hg2 Hg 0.0000 0.5000 0.1675
Te1 Te 0.0000 0.5000 0.8143
Rh1 Rh 0.0000 0.0000 0.4799
# Magnetic moment = 0.00 μB/f.u.
# Raw formation energy = -22 meV per atom
# Energy relative to the lowest polymorph listed for this composition = 64 meV/atom
# ρ = 11.01 g/cm3



No. 6
# NaLi2Nb | Alexandria via LeMat-Bulk | GGA-PBE | relaxed
data_NaLi2Nb
_symmetry_space_group_name_H-M 'R -3 m'
_symmetry_Int_Tables_number 166
_symmetry_space_group_name_Hall '-R 3 2"'
_cell_length_a 2.8692
_cell_length_b 2.8692
_cell_length_c 34.6218
_cell_angle_alpha 90.00
_cell_angle_beta 90.00
_cell_angle_gamma 120.00
loop_
_atom_site_label
_atom_site_type_symbol
_atom_site_fract_x
_atom_site_fract_y
_atom_site_fract_z
Na1 Na 0.0000 0.0000 0.0000
Li1 Li 0.0000 0.0000 0.4192
Nb1 Nb 0.0000 0.0000 0.5000
# Magnetic moment = 0.00 μB/f.u.
# ΔE_f = 404 meV/atom
# Energy relative to the lowest polymorph listed for this composition = 0 meV/atom
# ρ = 2.62 g/cm3



No. 7
# KBaNb2O7 | Alexandria via LeMat-Bulk | GGA-PBE | relaxed
data_KBaNb2O7
_symmetry_space_group_name_H-M 'I -4 m 2'
_symmetry_Int_Tables_number 119
_symmetry_space_group_name_Hall 'I -4 -2'
_cell_length_a 4.0023
_cell_length_b 4.0023
_cell_length_c 23.7383
_cell_angle_alpha 90.00
_cell_angle_beta 90.00
_cell_angle_gamma 90.00
loop_
_atom_site_label
_atom_site_type_symbol
_atom_site_fract_x
_atom_site_fract_y
_atom_site_fract_z
K1 K 0.0000 0.0000 0.0000
Ba1 Ba 0.0000 0.5000 0.7500
Nb1 Nb 0.0000 0.5000 0.1472
O1 O 0.0000 0.0000 0.1628
O2 O 0.0000 0.0000 0.3367
O3 O 0.0000 0.5000 0.0714
O4 O 0.0000 0.5000 0.2500
# Magnetic moment = 0.96 μB/f.u.
# Raw formation energy = -2419 meV per atom
# ρ = 4.14 g/cm3



No. 8
# AcSiPd3 | Alexandria via LeMat-Bulk | GGA-PBE | relaxed
data_AcSiPd3
_symmetry_space_group_name_H-M 'I 4 m m'
_symmetry_Int_Tables_number 107
_symmetry_space_group_name_Hall 'I 4 -2'
_cell_length_a 4.3091
_cell_length_b 4.3091
_cell_length_c 10.7127
_cell_angle_alpha 90.00
_cell_angle_beta 90.00
_cell_angle_gamma 90.00
loop_
_atom_site_label
_atom_site_type_symbol
_atom_site_fract_x
_atom_site_fract_y
_atom_site_fract_z
Ac1 Ac 0.0000 0.0000 0.0000
Si1 Si 0.0000 0.0000 0.3583
Pd1 Pd 0.0000 0.0000 0.5818
Pd2 Pd 0.0000 0.5000 0.2531
# Magnetic moment = 0.00 μB/f.u.
# Raw formation energy = -843 meV per atom
# Energy relative to the lowest polymorph listed for this composition = 12 meV/atom
# ρ = 9.59 g/cm3



No. 9
# CsSnPd3 | Alexandria via LeMat-Bulk | GGA-PBE | relaxed
data_CsSnPd3
_symmetry_space_group_name_H-M 'P m -3 m'
_symmetry_Int_Tables_number 221
_symmetry_space_group_name_Hall '-P 4 2 3'
_cell_length_a 5.2662
_cell_length_b 5.2662
_cell_length_c 5.2662
_cell_angle_alpha 90.00
_cell_angle_beta 90.00
_cell_angle_gamma 90.00
loop_
_atom_site_label
_atom_site_type_symbol
_atom_site_fract_x
_atom_site_fract_y
_atom_site_fract_z
Cs1 Cs 0.0000 0.0000 0.0000
Sn1 Sn 0.5000 0.5000 0.5000
Pd1 Pd 0.0000 0.0000 0.5000
# Magnetic moment = 0.00 μB/f.u.
# ΔE_f = 1227 meV/atom
# Energy relative to the lowest polymorph listed for this composition = 1067 meV/atom
# ρ = 6.49 g/cm3



No. 10
# Ho4Mg7Sc | Alexandria via LeMat-Bulk | GGA-PBE | relaxed
data_Ho4Mg7Sc
_symmetry_space_group_name_H-M 'C 1 2/m 1'
_symmetry_Int_Tables_number 12
_cell_length_a 11.0721
_cell_length_b 5.5588
_cell_length_c 11.5231
_cell_angle_alpha 90.00
_cell_angle_beta 113.95
_cell_angle_gamma 90.00
loop_
_symmetry_equiv_pos_as_xyz
'x,y,z'
'-x,-y,-z'
'-x,y,-z'
'x,-y,z'
'x+1/2,y+1/2,z'
'-x+1/2,-y+1/2,-z'
'-x+1/2,y+1/2,-z'
'x+1/2,-y+1/2,z'
loop_
_atom_site_label
_atom_site_type_symbol
_atom_site_fract_x
_atom_site_fract_y
_atom_site_fract_z
Ho1 Ho 0.0536 0.0000 0.3434
Ho2 Ho 0.1555 0.5000 0.7820
Mg1 Mg 0.0000 0.0000 0.0000
Mg2 Mg 0.1328 0.5000 0.5078
Mg3 Mg 0.2077 0.0000 0.9238
Mg4 Mg 0.2230 0.5000 0.3035
Sc1 Sc 0.0000 0.5000 0.0000
# Magnetic moment = 0.00 μB/f.u.
# ΔE_f = 159 meV/atom
# Energy relative to the lowest polymorph listed for this composition = 174 meV/atom
# ρ = 4.48 g/cm3



No. 11
# BeSi2Cl | Alexandria via LeMat-Bulk | GGA-PBE | relaxed
data_BeSi2Cl
_symmetry_space_group_name_H-M 'P 4/m m m'
_symmetry_Int_Tables_number 123
_symmetry_space_group_name_Hall '-P 4 2'
_cell_length_a 4.7222
_cell_length_b 4.7222
_cell_length_c 2.7421
_cell_angle_alpha 90.00
_cell_angle_beta 90.00
_cell_angle_gamma 90.00
loop_
_atom_site_label
_atom_site_type_symbol
_atom_site_fract_x
_atom_site_fract_y
_atom_site_fract_z
Be1 Be 0.0000 0.0000 0.0000
Si1 Si 0.0000 0.5000 0.5000
Cl1 Cl 0.5000 0.5000 0.0000
# Magnetic moment = 0.00 μB/f.u.
# Raw formation energy = 658 meV per atom
# Energy relative to the lowest polymorph listed for this composition = 478 meV/atom
# ρ = 2.73 g/cm3



No. 12
# GdLuGaAg | Alexandria via LeMat-Bulk | GGA-PBE | relaxed
data_GdLuGaAg
_symmetry_space_group_name_H-M 'F -4 3 m'
_symmetry_Int_Tables_number 216
_symmetry_space_group_name_Hall 'F -4 2 3'
_cell_length_a 7.1962
_cell_length_b 7.1962
_cell_length_c 7.1962
_cell_angle_alpha 90.00
_cell_angle_beta 90.00
_cell_angle_gamma 90.00
loop_
_atom_site_label
_atom_site_type_symbol
_atom_site_fract_x
_atom_site_fract_y
_atom_site_fract_z
Gd1 Gd 0.0000 0.0000 0.0000
Lu1 Lu 0.0000 0.0000 0.5000
Ga1 Ga 0.2500 0.2500 0.2500
Ag1 Ag 0.2500 0.2500 0.7500
# Magnetic moment = 7.28 μB/f.u.
# ΔE_f = -456 meV/atom
# ρ = 9.09 g/cm3



No. 13
# HgSbMoI2 | Alexandria via LeMat-Bulk | GGA-PBE | relaxed
data_HgSbMoI2
_symmetry_space_group_name_H-M 'P 4/m m m'
_symmetry_Int_Tables_number 123
_symmetry_space_group_name_Hall '-P 4 2'
_cell_length_a 5.9136
_cell_length_b 5.9136
_cell_length_c 5.6170
_cell_angle_alpha 90.00
_cell_angle_beta 90.00
_cell_angle_gamma 90.00
loop_
_atom_site_label
_atom_site_type_symbol
_atom_site_fract_x
_atom_site_fract_y
_atom_site_fract_z
Hg1 Hg 0.0000 0.0000 0.0000
Sb1 Sb 0.0000 0.0000 0.5000
Mo1 Mo 0.5000 0.5000 0.5000
I1 I 0.0000 0.5000 0.0000
# Magnetic moment = 3.44 μB/f.u.
# Raw formation energy = 1211 meV per atom
# Energy relative to the lowest polymorph listed for this composition = 836 meV/atom
# ρ = 5.68 g/cm3